1.
# Ho2Tl2SbS6

A geometry-optimized Ho2Tl2SbS6 structure (PBE, the Alexandria database).

abc: 6.8699 11.8423 7.9174
angles: 90.00 107.65 90.00
Space group C2/m (No. 12)
One atom of each set of equivalent atoms:
Ho  0.0000  0.1673  0.0000 x4
Tl  0.0000  0.3270  0.5000 x4
Sb  0.0000  0.5000  0.0000 x2
S  0.2308  0.3379  0.1948 x8
S  0.2455  0.0000  0.1941 x4

Computed properties:
E ... -4.99 eV/atom
DOS at the Fermi energy ... 8.9 states/eV per cell

---

2.
# HoTl3Sb2S6

A geometry-optimized HoTl3Sb2S6 structure (PBE, the Alexandria database).

abc: 7.0116 12.1468 7.7924
angles: 90.00 107.46 90.00
Space group C2/m (No. 12)
One atom of each set of equivalent atoms:
Ho  0.0000  0.0000  0.0000 x2
Tl  0.0000  0.1665  0.5000 x4
Tl  0.0000  0.5000  0.5000 x2
Sb  0.0000  0.3335  0.0000 x4
S  0.2321  0.1651  0.2006 x8
S  0.2361  0.5000  0.1996 x4

Computed properties:
E ... -4.44 eV/atom

---

3.
# Ho3Tl4SbS8

A geometry-optimized Ho3Tl4SbS8 structure (PBE, the Alexandria database).

abc: 8.0545 8.0545 22.4698
angles: 90.00 90.00 120.00
Space group R-3m (No. 166, hexagonal axes)
One atom of each set of equivalent atoms:
Ho  0.0000  0.5000  0.0000 x9
Tl  0.0000  0.0000  0.5000 x3
Tl  0.0000  0.5000  0.5000 x9
Sb  0.0000  0.0000  0.0000 x3
S  0.0000  0.0000  0.2678 x6
S  0.0022  0.5011  0.2674 x18

Computed properties:
E ... -4.97 eV/atom

---

4.
# Ho4ScS5

A geometry-optimized Ho4ScS5 structure (PBE, the Alexandria database).

abc: 3.8516 3.8516 27.2281
angles: 90.00 90.00 90.00
Space group I4/mmm (No. 139)
One atom of each set of equivalent atoms:
Ho  0.0000  0.0000  0.0994 x4
Ho  0.0000  0.0000  0.3016 x4
Sc  0.0000  0.0000  0.5000 x2
S  0.0000  0.0000  0.0000 x2
S  0.0000  0.0000  0.2004 x4
S  0.0000  0.0000  0.4030 x4

Computed properties:
E ... -6.47 eV/atom
DOS at the Fermi energy ... 8.6 states/eV per cell

---

5.
# Ho2Sc4S9

A geometry-optimized Ho2Sc4S9 structure (PBE, the Alexandria database).

abc: 6.6064 6.6064 17.9178
angles: 90.00 90.00 120.00
Space group P-3c1 (No. 165)
One atom of each set of equivalent atoms:
Ho  0.0000  0.0000  0.1490 x4
Sc  0.3333  0.6667  0.0115 x4
Sc  0.3333  0.6667  0.3193 x4
S  0.0000  0.3172  0.2500 x6
S  0.0234  0.3755  0.9169 x12

Computed properties:
E ... -6.70 eV/atom
DOS at the Fermi energy ... 0.0 states/eV per cell

---

6.
# HoScS2

A geometry-optimized HoScS2 structure (PBE, the Alexandria database).

abc: 3.7135 3.7135 19.5699
angles: 90.00 90.00 120.00
Space group R3m (No. 160, hexagonal axes)
One atom of each set of equivalent atoms:
Ho  0.0000  0.0000  0.0000 x3
Sc  0.0000  0.0000  0.1779 x3
S  0.0000  0.0000  0.5819 x3
S  0.0000  0.0000  0.7604 x3

Computed properties:
DOS at the Fermi energy ... 2.7 states/eV per cell
Energy relative to the lowest polymorph listed for this composition ... 10.2 meV/atom

---

7.
# Ho4Sc3S8

A geometry-optimized Ho4Sc3S8 structure (PBE, the Alexandria database).

abc: 10.7381 10.7439 7.5614
angles: 90.00 134.75 90.00
Space group C2/m (No. 12)
One atom of each set of equivalent atoms:
Ho  0.0000  0.0000  0.0000 x2
Ho  0.0000  0.5000  0.5000 x2
Ho  0.2500  0.2500  0.0000 x4
Sc  0.0000  0.0000  0.5000 x2
Sc  0.2500  0.2500  0.5000 x4
S  0.0000  0.2456  0.5000 x4
S  0.0000  0.2539  0.0000 x4
S  0.2494  0.0000  0.9909 x4
S  0.2495  0.0000  0.5081 x4

Computed properties:
E ... -6.66 eV/atom
DOS at the Fermi energy ... 13.1 states/eV per cell

---

8.
# Ho2ScS4

A geometry-optimized Ho2ScS4 structure (PBE, the Alexandria database).

abc: 7.8719 7.8719 11.1493
angles: 90.00 90.00 90.00
Space group I4_1/amd (No. 141, origin choice 2)
One atom of each set of equivalent atoms:
Ho  0.0000  0.0000  0.0000 x8
Sc  0.0000  0.2500  0.3750 x4
S  0.0000  0.0078  0.7543 x16

Computed properties:
DOS at the Fermi energy ... 17.3 states/eV per cell
Energy relative to the lowest polymorph listed for this composition ... 39.2 meV/atom

---

9.
# HoSc4S5

A geometry-optimized HoSc4S5 structure (PBE, the Alexandria database).

abc: 3.7304 5.2828 18.6887
angles: 90.00 90.00 90.00
Space group Immm (No. 71)
One atom of each set of equivalent atoms:
Ho  0.0000  0.0000  0.0000 x2
Sc  0.0000  0.0000  0.2026 x4
Sc  0.0000  0.0000  0.3993 x4
S  0.0000  0.5000  0.0000 x2
S  0.0000  0.5000  0.1993 x4
S  0.0000  0.5000  0.3945 x4

Computed properties:
E ... -6.93 eV/atom
DOS at the Fermi energy ... 10.7 states/eV per cell

---

10.
# HoSc2S3

A geometry-optimized HoSc2S3 structure (PBE, the Alexandria database).

abc: 9.6377 12.0770 5.5959
angles: 90.00 90.00 90.00
Space group Cmcm (No. 63)
One atom of each set of equivalent atoms:
Ho  0.0000  0.0914  0.2500 x4
Sc  0.1792  0.5000  0.0000 x8
S  0.0000  0.4017  0.7500 x4
S  0.1522  0.1045  0.7500 x8

Computed properties:
DOS at the Fermi energy ... 9.5 states/eV per cell
Energy relative to the lowest polymorph listed for this composition ... 665.5 meV/atom

---

11.
# Ho2Sc3S6

A geometry-optimized Ho2Sc3S6 structure (PBE, the Alexandria database).

abc: 6.5033 11.2134 6.5709
angles: 90.00 109.22 90.00
Space group C2/m (No. 12)
One atom of each set of equivalent atoms:
Ho  0.0000  0.1658  0.0000 x4
Sc  0.0000  0.0000  0.5000 x2
Sc  0.0000  0.3364  0.5000 x4
S  0.2430  0.5000  0.7413 x4
S  0.2466  0.1656  0.7371 x8

Computed properties:
E ... -6.81 eV/atom
DOS at the Fermi energy ... 9.9 states/eV per cell

---

12.
# Ho3Sc2S6

A geometry-optimized Ho3Sc2S6 structure (PBE, the Alexandria database).

abc: 6.6320 11.4455 6.4838
angles: 90.00 109.85 90.00
Space group C2/m (No. 12)
One atom of each set of equivalent atoms:
Ho  0.0000  0.0000  0.0000 x2
Ho  0.0000  0.3372  0.0000 x4
Sc  0.0000  0.1650  0.5000 x4
S  0.2435  0.0000  0.7334 x4
S  0.2478  0.3317  0.7394 x8

Computed properties:
E ... -6.66 eV/atom
DOS at the Fermi energy ... 8.0 states/eV per cell

---

13.
# Ho2Sc2S3

A geometry-optimized Ho2Sc2S3 structure (PBE, the Alexandria database).

abc: 12.7985 3.6631 9.0891
angles: 90.00 132.01 90.00
Space group C2/m (No. 12)
One atom of each set of equivalent atoms:
Ho  0.0733  0.0000  0.3627 x4
Sc  0.2480  0.5000  0.8434 x4
S  0.0000  0.5000  0.5000 x2
S  0.1684  0.5000  0.2555 x4

Computed properties:
E ... -6.42 eV/atom
DOS at the Fermi energy ... 11.0 states/eV per cell

---

14.
# HoScS2

A geometry-optimized HoScS2 structure (PBE, the Alexandria database).

abc: 3.6659 3.6659 6.7463
angles: 90.00 90.00 120.00
Space group P-3m1 (No. 164)
One atom of each set of equivalent atoms:
Ho  0.0000  0.0000  0.0000 x1
Sc  0.0000  0.0000  0.5000 x1
S  0.3333  0.6667  0.7353 x2

Computed properties:
DOS at the Fermi energy ... 1.9 states/eV per cell
Energy relative to the lowest polymorph listed for this composition ... 73.1 meV/atom

---

15.
# Ho2ScS4

A geometry-optimized Ho2ScS4 structure (PBE, the Alexandria database).

abc: 3.7016 12.7506 12.9567
angles: 90.00 90.00 90.00
Space group Cmcm (No. 63)
One atom of each set of equivalent atoms:
Ho  0.0000  0.1303  0.0740 x8
Sc  0.0000  0.3696  0.2500 x4
S  0.0000  0.0173  0.2500 x4
S  0.0000  0.2207  0.6249 x8
S  0.0000  0.5000  0.0000 x4

Computed properties:
DOS at the Fermi energy ... 10.1 states/eV per cell
Energy relative to the lowest polymorph listed for this composition ... 0.0 meV/atom

---

16.
# HoSc3S

A geometry-optimized HoSc3S structure (PBE, the Alexandria database).

abc: 4.9707 4.9707 4.9707
angles: 90.00 90.00 90.00
Space group Pm-3m (No. 221)
One atom of each set of equivalent atoms:
Ho  0.0000  0.0000  0.0000 x1
Sc  0.0000  0.5000  0.5000 x3
S  0.5000  0.5000  0.5000 x1

Computed properties:
E ... -6.14 eV/atom
DOS at the Fermi energy ... 8.3 states/eV per cell

---

17.
# HoSc4S4

A geometry-optimized HoSc4S4 structure (PBE, the Alexandria database).

abc: 12.2688 3.7086 8.9688
angles: 90.00 119.34 90.00
Space group C2/m (No. 12)
One atom of each set of equivalent atoms:
Ho  0.0000  0.0000  0.0000 x2
Sc  0.1000  0.5000  0.3973 x4
Sc  0.2089  0.0000  0.8026 x4
S  0.1043  0.5000  0.8901 x4
S  0.2034  0.0000  0.3105 x4

Computed properties:
E ... -6.83 eV/atom
DOS at the Fermi energy ... 11.1 states/eV per cell

---

18.
# HoScS2

A geometry-optimized HoScS2 structure (PBE, the Alexandria database).

abc: 3.7976 3.7976 18.4866
angles: 90.00 90.00 120.00
Space group R-3m (No. 166, hexagonal axes)
One atom of each set of equivalent atoms:
Ho  0.0000  0.0000  0.0000 x3
Sc  0.0000  0.0000  0.5000 x3
S  0.0000  0.0000  0.2452 x6

Computed properties:
DOS at the Fermi energy ... 5.5 states/eV per cell
Energy relative to the lowest polymorph listed for this composition ... 0.0 meV/atom

---

19.
# Ho4ScS4

A geometry-optimized Ho4ScS4 structure (PBE, the Alexandria database).

abc: 12.6796 3.8111 9.3028
angles: 90.00 119.89 90.00
Space group C2/m (No. 12)
One atom of each set of equivalent atoms:
Ho  0.0989  0.0000  0.4008 x4
Ho  0.1978  0.5000  0.7949 x4
Sc  0.0000  0.5000  0.0000 x2
S  0.0984  0.0000  0.9077 x4
S  0.1948  0.5000  0.2959 x4

Computed properties:
E ... -6.29 eV/atom
DOS at the Fermi energy ... 10.3 states/eV per cell

---

20.
# Ho6ScS8

A geometry-optimized Ho6ScS8 structure (PBE, the Alexandria database).

abc: 10.9201 10.9201 10.9201
angles: 90.00 90.00 90.00
Space group Fm-3m (No. 225)
One atom of each set of equivalent atoms:
Ho  0.0000  0.2500  0.2500 x24
Sc  0.0000  0.0000  0.0000 x4
S  0.0000  0.0000  0.2442 x24
S  0.2500  0.2500  0.2500 x8

Computed properties:
E ... -6.48 eV/atom
DOS at the Fermi energy ... 26.4 states/eV per cell

---

21.
# Ho5ScS6

A geometry-optimized Ho5ScS6 structure (PBE, the Alexandria database).

abc: 6.6750 11.5830 6.6685
angles: 90.00 109.63 90.00
Space group C2/m (No. 12)
One atom of each set of equivalent atoms:
Ho  0.0000  0.0000  0.0000 x2
Ho  0.0000  0.1667  0.5000 x4
Ho  0.0000  0.3306  0.0000 x4
Sc  0.0000  0.5000  0.5000 x2
S  0.2433  0.5000  0.2528 x4
S  0.2443  0.3371  0.7446 x8

Computed properties:
E ... -6.45 eV/atom
DOS at the Fermi energy ... 9.1 states/eV per cell